# 1
{
  "formula": "TiTlTe2N",
  "functional": "PBE-GGA",
  "state": "optimized geometry",
  "raw_formation_energy_ev_per_atom": -0.1632,
  "e_above_lowest_polymorph_mev_per_atom": 0,
  "dft_energy_ev_per_atom": -5.137,
  "lattice_angstrom": [[5.839, 0.000, 0.000], [0.000, 5.839, 0.000], [0.000, 0.000, 3.726]],
  "species": ["Ti", "Tl", "Te", "Te", "N"],
  "fractional_positions": [[0.000, 0.000, 0.000], [0.500, 0.500, 0.500], [0.000, 0.500, 0.000], [0.500, 0.000, 0.000], [0.000, 0.000, 0.500]]
}

# 2
{
  "formula": "Tb3NdSm3",
  "functional": "PBE-GGA",
  "state": "optimized geometry",
  "e_above_lowest_polymorph_mev_per_atom": 21,
  "formation_energy_mev_per_atom": 229.3,
  "dft_energy_ev_per_atom": -4.459,
  "lattice_angstrom": [[5.003, 2.889, 2.741], [-5.003, 2.889, 2.741], [0.000, -5.777, 2.741]],
  "species": ["Tb", "Tb", "Tb", "Nd", "Sm", "Sm", "Sm"],
  "fractional_positions": [[0.065, 0.467, 0.467], [0.467, 0.065, 0.467], [0.467, 0.467, 0.065], [0.611, 0.611, 0.611], [0.024, 0.024, 0.664], [0.024, 0.664, 0.024], [0.664, 0.024, 0.024]]
}

# 3
{
  "formula": "ReTcHg4",
  "functional": "PBE-GGA",
  "state": "optimized geometry",
  "formation_energy_mev_per_atom": 1292.9,
  "dft_energy_ev_per_atom": -2.711,
  "lattice_angstrom": [[0.000, 3.914, 3.914], [3.914, 0.000, 3.914], [3.914, 3.914, 0.000]],
  "species": ["Re", "Tc", "Hg", "Hg", "Hg", "Hg"],
  "fractional_positions": [[0.000, 0.000, 0.000], [0.750, 0.750, 0.750], [0.375, 0.375, 0.375], [0.375, 0.375, 0.875], [0.375, 0.875, 0.375], [0.875, 0.375, 0.375]]
}